Record 1
VP2S2 PBE optimized geometry; uncorrected formation energy = 0.48 eV/atom; SG = P4/mmm; volume = 19.1 Å³/atom
1.0
4.3834 0.0000 0.0000
0.0000 4.3834 0.0000
0.0000 0.0000 4.9618
P S V
2 2 1
Cartesian
2.1917 2.1917 2.4809
0.0000 0.0000 2.4809
0.0000 2.1917 0.0000
2.1917 0.0000 0.0000
0.0000 0.0000 0.0000


Record 2
VPWS2 PBE optimized geometry; uncorrected formation energy = 0.76 eV/atom; SG = P4/mmm; volume = 20.4 Å³/atom
1.0
-3.2633 1.3924 2.9391
-2.8592 -3.2124 -1.6527
1.6183 -3.1270 3.2783
P S W V
1 2 1 1
Cartesian
0.8092 -1.5635 1.6391
-1.4296 -1.6062 -0.8264
-1.6317 0.6962 1.4695
0.0000 0.0000 0.0000
-2.2521 -2.4735 2.2823


Record 3
VPWS2 PBE optimized geometry; uncorrected formation energy = 0.83 eV/atom; SG = P4/mmm; volume = 18.5 Å³/atom
1.0
4.4401 0.0000 0.0000
0.0000 4.4401 0.0000
0.0000 0.0000 4.6908
P S W V
1 2 1 1
Cartesian
0.0000 0.0000 2.3454
0.0000 2.2200 0.0000
2.2200 0.0000 0.0000
2.2200 2.2200 2.3454
0.0000 0.0000 0.0000


Record 4
YVP2S PBE optimized geometry; uncorrected formation energy = -0.55 eV/atom; SG = P4/mmm; volume = 19.4 Å³/atom
1.0
4.4681 0.0000 0.0000
0.0000 4.4681 0.0000
0.0000 0.0000 4.8562
Y P S V
1 2 1 1
Cartesian
2.2341 2.2341 2.4281
0.0000 2.2341 0.0000
2.2341 0.0000 0.0000
0.0000 0.0000 2.4281
0.0000 0.0000 0.0000


Record 5
YVP2S PBE optimized geometry; uncorrected formation energy = 0.89 eV/atom; SG = P4/mmm; volume = 27.2 Å³/atom
1.0
-0.7546 5.0008 1.1021
-4.4715 -0.1006 -2.6053
-2.4482 -1.3066 4.2524
Y P S V
1 2 1 1
Cartesian
0.0000 0.0000 0.0000
-2.2358 -0.0503 -1.3026
-0.3773 2.5004 0.5511
-1.2241 -0.6533 2.1262
-3.8372 1.7968 1.3746


Record 6
YVPS2 PBE optimized geometry; uncorrected formation energy = 0.30 eV/atom; SG = P4/mmm; volume = 27.8 Å³/atom
1.0
-1.2991 -4.7707 1.4276
2.2620 -1.8797 -4.2231
4.5218 -0.4470 2.6209
Y P S V
1 1 2 1
Cartesian
0.0000 0.0000 0.0000
2.2609 -0.2235 1.3105
1.1310 -0.9399 -2.1116
-0.6495 -2.3853 0.7138
2.7423 -3.5487 -0.0873


Record 7
Y2VPS PBE optimized geometry; uncorrected formation energy = -0.27 eV/atom; SG = P4/mmm; volume = 23.8 Å³/atom
1.0
5.2608 0.0000 0.0000
0.0000 4.3065 0.0000
0.0000 0.0000 5.2608
Y P S V
2 1 1 1
Cartesian
0.0000 0.0000 2.6304
2.6304 0.0000 0.0000
0.0000 2.1532 0.0000
2.6304 2.1532 2.6304
0.0000 0.0000 0.0000


Record 8
YVPS2 PBE optimized geometry; uncorrected formation energy = -0.73 eV/atom; SG = P4/mmm; volume = 19.3 Å³/atom
1.0
-0.8875 3.8768 -2.1581
-4.4329 -0.6793 0.6027
0.2006 2.3283 4.0999
Y P S V
1 1 2 1
Cartesian
-2.5599 2.7629 1.2722
0.1003 1.1641 2.0500
-2.2164 -0.3397 0.3013
-0.4438 1.9384 -1.0791
0.0000 0.0000 0.0000


Record 9
VZnPS2 PBE optimized geometry; uncorrected formation energy = 0.95 eV/atom; SG = P4/mmm; volume = 19.2 Å³/atom
1.0
-1.0495 -3.9540 -2.1520
1.2357 -2.3779 3.7664
-4.2083 0.2721 1.5524
P Zn S V
1 1 2 1
Cartesian
-2.1042 0.1360 0.7762
0.0000 0.0000 0.0000
0.6178 -1.1889 1.8832
-0.5247 -1.9770 -1.0760
-2.0111 -3.0299 1.5834


Record 10
VZnPS2 PBE optimized geometry; uncorrected formation energy = 0.10 eV/atom; SG = P4/mmm; volume = 19.2 Å³/atom
1.0
4.4952 0.0000 0.0000
0.0000 4.4952 0.0000
0.0000 0.0000 4.7509
P Zn S V
1 1 2 1
Cartesian
0.0000 0.0000 2.3754
2.2476 2.2476 2.3754
0.0000 2.2476 0.0000
2.2476 0.0000 0.0000
0.0000 0.0000 0.0000


Record 11
ZrVP2S PBE optimized geometry; uncorrected formation energy = 0.64 eV/atom; SG = P4/mmm; volume = 24.2 Å³/atom
1.0
-2.7087 -4.1881 -0.2143
0.6661 -0.6815 4.9006
-4.0252 2.5572 0.9027
P S Zr V
2 1 1 1
Cartesian
0.3330 -0.3408 2.4503
-1.3544 -2.0941 -0.1071
-2.0126 1.2786 0.4514
0.0000 0.0000 0.0000
-3.0339 -1.1562 2.7945


Record 12
ZrVP2S PBE optimized geometry; uncorrected formation energy = -0.05 eV/atom; SG = P4/mmm; volume = 18.4 Å³/atom
1.0
-2.5288 2.2429 3.0789
-3.8062 -1.6358 -1.9345
0.1466 -3.4921 2.6644
P S Zr V
2 1 1 1
Cartesian
-1.9031 -0.8179 -0.9672
-1.2644 1.1215 1.5394
0.0733 -1.7461 1.3322
-3.0942 -1.4425 1.9044
0.0000 0.0000 0.0000